[1]
Density functional theory data (SCAN) for CuOs2Pb at its PBEsol-relaxed geometry.

POSCAR file:
```
CuOs2Pb
1.0
-0.893 0.676 2.620
-0.098 -4.312 1.079
5.251 2.097 -0.301
Os Pb Cu
2 1 1
Cartesian
1.564 -1.697 2.521
2.695 0.158 0.878
-0.447 0.338 1.310
-0.049 -2.156 0.540
```

Computed properties:
* calculated density: 17.04 g/cm³
* calculated formation energy: 0.8867 eV/atom
* uncorrected energy: -57.80 eV per atom

[2]
Density functional theory data (SCAN) for CuOs2Pb at its PBEsol-relaxed geometry.

POSCAR file:
```
CuOs2Pb
1.0
-1.292 2.551 -0.424
-2.451 -1.822 -3.493
-3.388 -1.216 3.011
Cu Pb Os
1 1 2
Cartesian
-2.919 -1.519 -0.241
-1.872 0.364 -1.959
-2.340 0.668 1.294
0.000 0.000 0.000
```

Computed properties:
* calculated density: 17.18 g/cm³
* calculated formation energy: 1.0210 eV/atom
* uncorrected energy: -57.66 eV per atom

[3]
Density functional theory data (SCAN) for CuOsPb2 at its PBEsol-relaxed geometry.

POSCAR file:
```
CuOsPb2
1.0
3.352 0.000 0.000
-1.676 4.327 -0.001
0.000 -1.064 5.330
Cu Os Pb
1 1 2
Cartesian
0.000 -0.532 2.665
1.676 0.000 0.000
0.000 1.859 1.312
1.676 1.404 4.017
```

Computed properties:
* calculated density: 14.35 g/cm³
* calculated formation energy: 0.8733 eV/atom
* polymorph energy (0 for the lowest one): 0 meV per atom
* uncorrected energy: -58.79 eV per atom

[4]
Density functional theory data (SCAN) for CuOs2Pb at its PBEsol-relaxed geometry.

POSCAR file:
```
CuOs2Pb
1.0
3.104 0.000 0.000
0.000 3.103 0.000
0.000 0.000 6.451
Pb Os Cu
1 2 1
Cartesian
1.552 1.552 0.000
0.000 0.000 4.547
0.000 0.000 1.904
1.552 1.552 3.225
```

Computed properties:
* calculated density: 17.40 g/cm³
* calculated formation energy: 1.0535 eV/atom
* uncorrected energy: -57.63 eV per atom

- What is the formula in the fourth record?
  CuOs2Pb